No. 1
Ag2Pt | SCAN | single point on PBEsol structure

Structure (CIF):
```
data_Ag2Pt
_cell_length_a 2.797
_cell_length_b 2.797
_cell_length_c 12.159
_cell_angle_alpha 90.00
_cell_angle_beta 90.00
_cell_angle_gamma 90.00
_space_group_name_H-M_alt 'I 4/m m m'
_space_group_IT_number 139
_space_group_name_Hall '-I 4 2'
loop_
_atom_site_label
_atom_site_fract_x
_atom_site_fract_y
_atom_site_fract_z
Ag1 0.000 0.000 0.165
Pt1 0.000 0.000 0.500
```

Summary:
- ΔE to the lowest computed polymorph: 0.0170 eV/atom
- Energy of formation from the pure elements: 8 meV per atom

***

No. 2
In4HgSb | SCAN | single point on PBEsol structure

Structure (CIF):
```
data_In4HgSb
_cell_length_a 8.599
_cell_length_b 8.599
_cell_length_c 8.599
_cell_angle_alpha 90.00
_cell_angle_beta 90.00
_cell_angle_gamma 90.00
_space_group_name_H-M_alt 'F -4 3 m'
_space_group_IT_number 216
_space_group_name_Hall 'F -4 2 3'
loop_
_atom_site_label
_atom_site_fract_x
_atom_site_fract_y
_atom_site_fract_z
In1 0.125 0.125 0.125
Hg1 0.000 0.000 0.500
Sb1 0.250 0.250 0.750
```

Summary:
- Calculated total energy: -39.61 eV/atom

***

No. 3
TaPd2F | SCAN | single point on PBEsol structure

Structure (CIF):
```
data_TaPd2F
_cell_length_a 6.143
_cell_length_b 6.143
_cell_length_c 6.143
_cell_angle_alpha 90.00
_cell_angle_beta 90.00
_cell_angle_gamma 90.00
_space_group_name_H-M_alt 'F m -3 m'
_space_group_IT_number 225
_space_group_name_Hall '-F 4 2 3'
loop_
_atom_site_label
_atom_site_fract_x
_atom_site_fract_y
_atom_site_fract_z
Ta1 0.000 0.000 0.000
Pd1 0.250 0.250 0.250
F1 0.000 0.000 0.500
```

Summary:
- Calculated total energy: -34.22 eV/atom

***

No. 4
In2HgW | SCAN | single point on PBEsol structure

Structure (CIF):
```
data_In2HgW
_cell_length_a 4.044
_cell_length_b 4.044
_cell_length_c 9.389
_cell_angle_alpha 90.00
_cell_angle_beta 90.00
_cell_angle_gamma 90.00
_space_group_name_H-M_alt 'I -4 m 2'
_space_group_IT_number 119
_space_group_name_Hall 'I -4 -2'
loop_
_atom_site_label
_atom_site_fract_x
_atom_site_fract_y
_atom_site_fract_z
In1 0.000 0.000 0.000
In2 0.000 0.500 0.250
Hg1 0.000 0.500 0.750
W1 0.000 0.000 0.500
```

Summary:
- Energy of formation from the pure elements: 637 meV per atom

***

No. 5
Na2ScTiCl | SCAN | single point on PBEsol structure

Structure (CIF):
```
data_Na2ScTiCl
_cell_length_a 5.898
_cell_length_b 5.898
_cell_length_c 5.224
_cell_angle_alpha 90.00
_cell_angle_beta 90.00
_cell_angle_gamma 90.00
_space_group_name_H-M_alt 'P 4/m m m'
_space_group_IT_number 123
_space_group_name_Hall '-P 4 2'
loop_
_atom_site_label
_atom_site_fract_x
_atom_site_fract_y
_atom_site_fract_z
Na1 0.000 0.500 0.000
Sc1 0.000 0.000 0.500
Ti1 0.000 0.000 0.000
Cl1 0.500 0.500 0.500
```

Summary:
- Calculated total energy: -8.70 eV/atom

***

No. 6
YNi4Ag | SCAN | single point on PBEsol structure

Structure (CIF):
```
data_YNi4Ag
_cell_length_a 6.867
_cell_length_b 6.867
_cell_length_c 6.867
_cell_angle_alpha 90.00
_cell_angle_beta 90.00
_cell_angle_gamma 90.00
_space_group_name_H-M_alt 'F -4 3 m'
_space_group_IT_number 216
_space_group_name_Hall 'F -4 2 3'
loop_
_atom_site_label
_atom_site_fract_x
_atom_site_fract_y
_atom_site_fract_z
Y1 0.000 0.000 0.000
Ni1 0.124 0.124 0.624
Ag1 0.250 0.250 0.250
```

Summary:
- Energy of formation from the pure elements: -253 meV per atom

***

No. 7
BaTa2Bi2O9 | SCAN | single point on PBEsol structure

Structure (CIF):
```
data_BaTa2Bi2O9
_cell_length_a 3.934
_cell_length_b 3.934
_cell_length_c 24.599
_cell_angle_alpha 90.00
_cell_angle_beta 90.00
_cell_angle_gamma 90.00
_space_group_name_H-M_alt 'I 4/m m m'
_space_group_IT_number 139
_space_group_name_Hall '-I 4 2'
loop_
_atom_site_label
_atom_site_fract_x
_atom_site_fract_y
_atom_site_fract_z
Ba1 0.000 0.000 0.000
Ta1 0.000 0.000 0.411
Bi1 0.000 0.000 0.201
O1 0.000 0.000 0.335
O2 0.000 0.000 0.500
O3 0.000 0.500 0.082
O4 0.000 0.500 0.250
```

Summary:
- Calculated total energy: -30.04 eV/atom

***

No. 8
YTaRe2 | SCAN | single point on PBEsol structure

Structure (CIF):
```
data_YTaRe2
_cell_length_a 2.9004
_cell_length_b 2.9004
_cell_length_c 29.1347
_cell_angle_alpha 90.00
_cell_angle_beta 90.00
_cell_angle_gamma 120.00
_space_group_name_H-M_alt 'R 3 m'
_space_group_IT_number 160
_space_group_name_Hall 'R 3 -2"'
loop_
_atom_site_label
_atom_site_fract_x
_atom_site_fract_y
_atom_site_fract_z
Y1 0.0000 0.0000 0.0000
Ta1 0.0000 0.0000 0.7618
Re1 0.0000 0.0000 0.2449
Re2 0.0000 0.0000 0.5085
```

Summary:
- Energy of formation from the pure elements: 434 meV per atom

***

Density for every record listed, in sequence, given in g cm⁻³: 14.34 8.16 11.83 13.28 1.59 8.85 9.26 15.07.